Entry 1:
NbZnCuBi (PBE, relaxed); density = 9.39 g/cm³; relative energy among the computed polymorphs = 52 meV per atom; magnetic moment = 2.273 μB per formula unit
1.0
0.000 3.365 3.365
3.365 0.000 3.365
3.365 3.365 0.000
Nb Zn Cu Bi
1 1 1 1
Cartesian
0.000 0.000 0.000 Nb
1.683 1.683 1.683 Zn
5.048 5.048 5.048 Cu
3.365 3.365 3.365 Bi

***

Entry 2:
NbCuW (PBE, relaxed); density = 11.01 g/cm³; relative energy among the computed polymorphs = 0 meV per atom; magnetic moment = 0.001 μB per formula unit
1.0
0.000 2.950 2.950
2.950 0.000 2.950
2.950 2.950 0.000
Nb Cu W
1 1 1
Cartesian
0.000 0.000 0.000 Nb
1.475 1.475 1.475 Cu
2.950 2.950 2.950 W

***

Entry 3:
SrCdNO (PBE, relaxed); density = 5.11 g/cm³; relative energy among the computed polymorphs = 0 meV per atom
1.0
6.564 0.000 0.000
0.000 7.809 0.000
0.000 0.000 5.837
Sr Cd N O
4 4 4 4
Cartesian
0.458 1.153 0.000 Sr
2.824 1.153 2.919 Sr
3.740 6.656 0.000 Sr
6.106 6.656 2.919 Sr
0.486 4.822 0.062 Cd
2.796 4.822 2.980 Cd
3.768 2.987 0.062 Cd
6.078 2.987 2.980 Cd
0.767 4.595 3.750 N
2.515 4.595 0.831 N
4.049 3.214 3.750 N
5.797 3.214 0.831 N
0.473 0.995 3.387 O
2.809 0.995 0.468 O
3.755 6.814 3.387 O
6.091 6.814 0.468 O

***

Entry 4:
CsLu2O4 (PBE, relaxed); VASP energy = -96.76 eV/cell; density = 7.43 g/cm³; magnetic moment = 1.000 μB per formula unit
1.0
0.000 4.963 4.963
4.963 0.000 4.963
4.963 4.963 0.000
Cs Lu O
2 4 8
Cartesian
1.241 1.241 1.241 Cs
8.685 8.685 8.685 Cs
4.963 2.481 2.481 Lu
2.481 4.963 2.481 Lu
2.481 2.481 4.963 Lu
4.963 4.963 4.963 Lu
2.755 2.755 2.755 O
4.689 4.689 2.755 O
4.689 2.755 4.689 O
7.170 5.236 5.236 O
2.755 4.689 4.689 O
5.236 7.170 5.236 O
5.236 5.236 7.170 O
7.170 7.170 7.170 O

***

Entry 5:
LaNiSn2Pt (PBE, relaxed); density = 9.53 g/cm³; relative energy among the computed polymorphs = 0 meV per atom; magnetic moment = 0.001 μB per formula unit
1.0
4.612 0.000 0.000
0.000 4.517 0.000
-0.532 0.000 10.547
La Ni Sn Pt
2 2 4 2
Cartesian
0.906 1.129 2.490 La
3.174 3.387 8.057 La
0.259 3.387 10.527 Ni
3.820 1.129 0.020 Ni
0.887 3.387 5.258 Sn
0.939 1.129 9.424 Sn
3.141 3.387 1.123 Sn
3.192 1.129 5.289 Sn
0.882 1.129 6.753 Pt
3.197 3.387 3.794 Pt

***

Entry 6:
HoAgAu (PBE, relaxed); density = 12.39 g/cm³; relative energy among the computed polymorphs = 12 meV per atom; magnetic moment = 0.001 μB per formula unit
1.0
3.719 0.000 0.000
0.000 3.719 0.000
0.000 0.000 9.107
Ho Ag Au
2 2 2
Cartesian
0.000 0.000 0.000 Ho
1.859 1.859 4.554 Ho
0.000 0.000 3.029 Ag
0.000 0.000 6.078 Ag
1.859 1.859 1.518 Au
1.859 1.859 7.590 Au